Record 1
First-principles (GGA-PBE) data for an optimized crystal structure of KCaCu, as listed in Alexandria. Values from VASP.

The structure in Quantum ESPRESSO input format:
```
&SYSTEM
  ibrav = 0, nat = 12, ntyp = 3
/
ATOMIC_SPECIES
K 39.10 K.upf
Ca 40.08 Ca.upf
Cu 63.55 Cu.upf
CELL_PARAMETERS angstrom
7.513 0.000 0.000
0.000 7.513 0.000
0.000 0.000 7.513
ATOMIC_POSITIONS crystal
K 0.000 0.000 0.000
K 0.000 0.500 0.500
K 0.500 0.000 0.500
K 0.500 0.500 0.000
Ca 0.000 0.000 0.500
Ca 0.000 0.500 0.000
Ca 0.500 0.000 0.000
Ca 0.500 0.500 0.500
Cu 0.250 0.250 0.250
Cu 0.250 0.750 0.750
Cu 0.750 0.250 0.750
Cu 0.750 0.750 0.250
```

- Formation energy: 0.298 eV/atom

=====

Record 2
First-principles (GGA-PBE) data for an optimized crystal structure of YSnOs3, as listed in Alexandria. Values from VASP.

The structure in Quantum ESPRESSO input format:
```
&SYSTEM
  ibrav = 0, nat = 5, ntyp = 3
/
ATOMIC_SPECIES
Y 88.91 Y.upf
Sn 118.71 Sn.upf
Os 190.23 Os.upf
CELL_PARAMETERS angstrom
4.840 0.000 0.000
0.000 4.840 0.000
0.000 0.000 4.840
ATOMIC_POSITIONS crystal
Y 0.000 0.000 0.000
Sn 0.500 0.500 0.500
Os 0.000 0.500 0.500
Os 0.500 0.000 0.500
Os 0.500 0.500 0.000
```

- Polymorph energy (0 for the lowest one): 0 meV/atom
- Formation energy: 1.662 eV/atom

=====

Record 3
First-principles (GGA-PBE) data for an optimized crystal structure of Zn2NiMo, as listed in Alexandria. Values from VASP.

The structure in Quantum ESPRESSO input format:
```
&SYSTEM
  ibrav = 0, nat = 8, ntyp = 3
/
ATOMIC_SPECIES
Zn 65.41 Zn.upf
Ni 58.69 Ni.upf
Mo 95.94 Mo.upf
CELL_PARAMETERS angstrom
5.362 0.000 0.000
0.000 8.111 0.000
0.000 0.000 2.561
ATOMIC_POSITIONS crystal
Zn 0.250 0.250 0.000
Zn 0.250 0.750 0.000
Zn 0.750 0.250 0.000
Zn 0.750 0.750 0.000
Ni 0.000 0.000 0.500
Ni 0.500 0.500 0.500
Mo 0.000 0.500 0.500
Mo 0.500 0.000 0.500
```

- Polymorph energy (0 for the lowest one): 156 meV/atom
- Formation energy: 0.100 eV/atom

=====

Record 4
First-principles (GGA-PBE) data for an optimized crystal structure of Re2SiAu, as listed in Alexandria. Values from VASP.

The structure in Quantum ESPRESSO input format:
```
&SYSTEM
  ibrav = 0, nat = 4, ntyp = 3
/
ATOMIC_SPECIES
Re 186.21 Re.upf
Si 28.09 Si.upf
Au 196.97 Au.upf
CELL_PARAMETERS angstrom
2.939 0.000 0.000
0.000 2.939 0.000
0.000 0.000 7.020
ATOMIC_POSITIONS crystal
Re 0.000 0.000 0.000
Re 0.500 0.500 0.242
Si 0.000 0.000 0.449
Au 0.500 0.500 0.701
```

- ΔE_f (raw): 0.16 eV/atom

=====

N(E_F), respectively: 1.099 7.229 4.020 2.910 states/eV/f.u..
V, respectively: 424.0 113.4 111.4 60.6 Å³ per cell.
Magnetic moment, respectively: 0.000 0.000 0.003 0.000 μB/cell.